Entry 1:
# LuMgScAl (PBE, relaxed)
# DOS(E_F)	9.956	states/eV/cell
# crystal system	cubic
data_LuMgScAl
_chemical_formula_sum 'Lu4 Mg4 Sc4 Al4'
_cell_length_a 7.071
_cell_length_b 7.071
_cell_length_c 7.071
_cell_angle_alpha 90.00
_cell_angle_beta 90.00
_cell_angle_gamma 90.00
_space_group_name_H-M_alt 'F -4 3 m'
_space_group_IT_number 216
_space_group_name_Hall 'F -4 2 3'
loop_
_atom_site_label
_atom_site_fract_x
_atom_site_fract_y
_atom_site_fract_z
Lu1 0.000 0.000 0.000
Mg1 0.250 0.250 0.250
Sc1 0.000 0.000 0.500
Al1 0.250 0.250 0.750


Entry 2:
# TmLuMgAl (PBE, relaxed)
# DOS(E_F)	9.612	states/eV/cell
# crystal system	cubic
data_TmLuMgAl
_chemical_formula_sum 'Tm4 Lu4 Mg4 Al4'
_cell_length_a 7.230
_cell_length_b 7.230
_cell_length_c 7.230
_cell_angle_alpha 90.00
_cell_angle_beta 90.00
_cell_angle_gamma 90.00
_space_group_name_H-M_alt 'F -4 3 m'
_space_group_IT_number 216
_space_group_name_Hall 'F -4 2 3'
loop_
_atom_site_label
_atom_site_fract_x
_atom_site_fract_y
_atom_site_fract_z
Tm1 0.000 0.000 0.000
Lu1 0.000 0.000 0.500
Mg1 0.250 0.250 0.750
Al1 0.250 0.250 0.250


Entry 3:
# LuMgAlZn (PBE, relaxed)
# DOS(E_F)	3.173	states/eV/cell
# crystal system	cubic
data_LuMgAlZn
_chemical_formula_sum 'Lu4 Mg4 Al4 Zn4'
_cell_length_a 6.832
_cell_length_b 6.832
_cell_length_c 6.832
_cell_angle_alpha 90.00
_cell_angle_beta 90.00
_cell_angle_gamma 90.00
_space_group_name_H-M_alt 'F -4 3 m'
_space_group_IT_number 216
_space_group_name_Hall 'F -4 2 3'
loop_
_atom_site_label
_atom_site_fract_x
_atom_site_fract_y
_atom_site_fract_z
Lu1 0.000 0.000 0.000
Mg1 0.000 0.000 0.500
Al1 0.250 0.250 0.750
Zn1 0.250 0.250 0.250


Entry 4:
# LuMn4Al8 (PBE, relaxed)
# DOS(E_F)	15.470	states/eV/cell
# crystal system	tetragonal
data_LuMn4Al8
_chemical_formula_sum 'Lu2 Mn8 Al16'
_cell_length_a 8.720
_cell_length_b 8.720
_cell_length_c 5.159
_cell_angle_alpha 90.00
_cell_angle_beta 90.00
_cell_angle_gamma 90.00
_space_group_name_H-M_alt 'I 4/m m m'
_space_group_IT_number 139
_space_group_name_Hall '-I 4 2'
loop_
_atom_site_label
_atom_site_fract_x
_atom_site_fract_y
_atom_site_fract_z
Lu1 0.000 0.000 0.000
Mn1 0.250 0.250 0.250
Al1 0.000 0.224 0.500
Al2 0.000 0.335 0.000


Entry 5:
# LuMn6Al6 (PBE, relaxed)
# DOS(E_F)	26.815	states/eV/cell
# crystal system	orthorhombic
data_LuMn6Al6
_chemical_formula_sum 'Lu2 Mn12 Al12'
_cell_length_a 4.919
_cell_length_b 8.551
_cell_length_c 8.751
_cell_angle_alpha 90.00
_cell_angle_beta 90.00
_cell_angle_gamma 90.00
_space_group_name_H-M_alt 'I m m m'
_space_group_IT_number 71
_space_group_name_Hall '-I 2 2'
loop_
_atom_site_label
_atom_site_fract_x
_atom_site_fract_y
_atom_site_fract_z
Lu1 0.000 0.000 0.000
Mn1 0.000 0.264 0.500
Mn2 0.250 0.250 0.250
Al1 0.000 0.000 0.346
Al2 0.000 0.337 0.000
Al3 0.000 0.500 0.306


Entry 6:
# LuMnAl2 (PBE, relaxed)
# DOS(E_F)	11.439	states/eV/cell
# crystal system	trigonal
data_LuMnAl2
_chemical_formula_sum 'Lu3 Mn3 Al6'
_cell_length_a 3.0998
_cell_length_b 3.0998
_cell_length_c 27.2686
_cell_angle_alpha 90.00
_cell_angle_beta 90.00
_cell_angle_gamma 120.00
_space_group_name_H-M_alt 'R -3 m'
_space_group_IT_number 166
_space_group_name_Hall '-R 3 2"'
loop_
_atom_site_label
_atom_site_fract_x
_atom_site_fract_y
_atom_site_fract_z
Lu1 0.0000 0.0000 0.0000
Mn1 0.0000 0.0000 0.5000
Al1 0.0000 0.0000 0.2395


Entry 7:
# LuMnAl2 (PBE, relaxed)
# DOS(E_F)	3.782	states/eV/cell
# crystal system	tetragonal
data_LuMnAl2
_chemical_formula_sum 'Lu1 Mn1 Al2'
_cell_length_a 3.172
_cell_length_b 3.172
_cell_length_c 6.992
_cell_angle_alpha 90.00
_cell_angle_beta 90.00
_cell_angle_gamma 90.00
_space_group_name_H-M_alt 'P 4/m m m'
_space_group_IT_number 123
_space_group_name_Hall '-P 4 2'
loop_
_atom_site_label
_atom_site_fract_x
_atom_site_fract_y
_atom_site_fract_z
Lu1 0.000 0.000 0.000
Mn1 0.000 0.000 0.500
Al1 0.500 0.500 0.302


Entry 8:
# LuMnAl (PBE, relaxed)
# DOS(E_F)	1.675	states/eV/cell
# crystal system	hexagonal
data_LuMnAl
_chemical_formula_sum 'Lu1 Mn1 Al1'
_cell_length_a 4.5434
_cell_length_b 4.5434
_cell_length_c 3.3221
_cell_angle_alpha 90.00
_cell_angle_beta 90.00
_cell_angle_gamma 120.00
_space_group_name_H-M_alt 'P -6 m 2'
_space_group_IT_number 187
_space_group_name_Hall 'P -6 2'
loop_
_atom_site_label
_atom_site_fract_x
_atom_site_fract_y
_atom_site_fract_z
Lu1 0.0000 0.0000 0.0000
Mn1 0.3333 0.6667 0.5000
Al1 0.6667 0.3333 0.5000


Entry 9:
# LuMnAl (PBE, relaxed)
# DOS(E_F)	2.951	states/eV/cell
# crystal system	tetragonal
data_LuMnAl
_chemical_formula_sum 'Lu2 Mn2 Al2'
_cell_length_a 3.206
_cell_length_b 3.206
_cell_length_c 10.826
_cell_angle_alpha 90.00
_cell_angle_beta 90.00
_cell_angle_gamma 90.00
_space_group_name_H-M_alt 'I 4 m m'
_space_group_IT_number 107
_space_group_name_Hall 'I 4 -2'
loop_
_atom_site_label
_atom_site_fract_x
_atom_site_fract_y
_atom_site_fract_z
Lu1 0.000 0.000 0.000
Mn1 0.000 0.000 0.327
Al1 0.000 0.000 0.703


Entry 10:
# NdLuMnAl (PBE, relaxed)
# DOS(E_F)	16.647	states/eV/cell
# crystal system	cubic
data_NdLuMnAl
_chemical_formula_sum 'Nd4 Lu4 Mn4 Al4'
_cell_length_a 7.223
_cell_length_b 7.223
_cell_length_c 7.223
_cell_angle_alpha 90.00
_cell_angle_beta 90.00
_cell_angle_gamma 90.00
_space_group_name_H-M_alt 'F -4 3 m'
_space_group_IT_number 216
_space_group_name_Hall 'F -4 2 3'
loop_
_atom_site_label
_atom_site_fract_x
_atom_site_fract_y
_atom_site_fract_z
Nd1 0.000 0.000 0.000
Lu1 0.000 0.000 0.500
Mn1 0.250 0.250 0.250
Al1 0.250 0.250 0.750


Entry 11:
# LuMnAlOs (PBE, relaxed)
# DOS(E_F)	4.238	states/eV/cell
# crystal system	cubic
data_LuMnAlOs
_chemical_formula_sum 'Lu4 Mn4 Al4 Os4'
_cell_length_a 6.400
_cell_length_b 6.400
_cell_length_c 6.400
_cell_angle_alpha 90.00
_cell_angle_beta 90.00
_cell_angle_gamma 90.00
_space_group_name_H-M_alt 'F -4 3 m'
_space_group_IT_number 216
_space_group_name_Hall 'F -4 2 3'
loop_
_atom_site_label
_atom_site_fract_x
_atom_site_fract_y
_atom_site_fract_z
Lu1 0.000 0.000 0.000
Mn1 0.250 0.250 0.750
Al1 0.000 0.000 0.500
Os1 0.250 0.250 0.250


Entry 12:
# LuPuMnAl (PBE, relaxed)
# DOS(E_F)	29.069	states/eV/cell
# crystal system	cubic
data_LuPuMnAl
_chemical_formula_sum 'Lu4 Pu4 Mn4 Al4'
_cell_length_a 7.005
_cell_length_b 7.005
_cell_length_c 7.005
_cell_angle_alpha 90.00
_cell_angle_beta 90.00
_cell_angle_gamma 90.00
_space_group_name_H-M_alt 'F -4 3 m'
_space_group_IT_number 216
_space_group_name_Hall 'F -4 2 3'
loop_
_atom_site_label
_atom_site_fract_x
_atom_site_fract_y
_atom_site_fract_z
Lu1 0.000 0.000 0.000
Pu1 0.000 0.000 0.500
Mn1 0.250 0.250 0.250
Al1 0.250 0.250 0.750


Entry 13:
# LuMnAlRu (PBE, relaxed)
# DOS(E_F)	5.285	states/eV/cell
# crystal system	cubic
data_LuMnAlRu
_chemical_formula_sum 'Lu4 Mn4 Al4 Ru4'
_cell_length_a 6.386
_cell_length_b 6.386
_cell_length_c 6.386
_cell_angle_alpha 90.00
_cell_angle_beta 90.00
_cell_angle_gamma 90.00
_space_group_name_H-M_alt 'F -4 3 m'
_space_group_IT_number 216
_space_group_name_Hall 'F -4 2 3'
loop_
_atom_site_label
_atom_site_fract_x
_atom_site_fract_y
_atom_site_fract_z
Lu1 0.000 0.000 0.000
Mn1 0.250 0.250 0.750
Al1 0.000 0.000 0.500
Ru1 0.250 0.250 0.250


Entry 14:
# SmLuMnAl (PBE, relaxed)
# DOS(E_F)	16.223	states/eV/cell
# crystal system	cubic
data_SmLuMnAl
_chemical_formula_sum 'Sm4 Lu4 Mn4 Al4'
_cell_length_a 7.176
_cell_length_b 7.176
_cell_length_c 7.176
_cell_angle_alpha 90.00
_cell_angle_beta 90.00
_cell_angle_gamma 90.00
_space_group_name_H-M_alt 'F -4 3 m'
_space_group_IT_number 216
_space_group_name_Hall 'F -4 2 3'
loop_
_atom_site_label
_atom_site_fract_x
_atom_site_fract_y
_atom_site_fract_z
Sm1 0.000 0.000 0.000
Lu1 0.000 0.000 0.500
Mn1 0.250 0.250 0.250
Al1 0.250 0.250 0.750


Entry 15:
# TbLuMnAl (PBE, relaxed)
# DOS(E_F)	17.373	states/eV/cell
# crystal system	cubic
data_TbLuMnAl
_chemical_formula_sum 'Tb4 Lu4 Mn4 Al4'
_cell_length_a 7.116
_cell_length_b 7.116
_cell_length_c 7.116
_cell_angle_alpha 90.00
_cell_angle_beta 90.00
_cell_angle_gamma 90.00
_space_group_name_H-M_alt 'F -4 3 m'
_space_group_IT_number 216
_space_group_name_Hall 'F -4 2 3'
loop_
_atom_site_label
_atom_site_fract_x
_atom_site_fract_y
_atom_site_fract_z
Tb1 0.000 0.000 0.000
Lu1 0.000 0.000 0.500
Mn1 0.250 0.250 0.750
Al1 0.250 0.250 0.250


Number 1: energy of formation -255 meV per atom. Number 2: energy of formation -248 meV per atom. Number 3: energy of formation -253 meV per atom. Number 4: energy of formation -336 meV per atom. Number 5: energy of formation -244 meV per atom. Number 6: energy of formation 59 meV per atom. Number 7: energy of formation -226 meV per atom. Number 8: energy of formation -139 meV per atom. Number 9: energy of formation -137 meV per atom. Number 10: energy of formation -43 meV per atom. Number 11: energy of formation -182 meV per atom. Number 12: energy of formation -32 meV per atom. Number 13: energy of formation -312 meV per atom. Number 14: energy of formation -61 meV per atom. Number 15: energy of formation -83 meV per atom.